Compound: Li9CaAg2
Source: Alexandria
Functional: PBE-GGA
Structure: optimized geometry

Results
- E above lowest polymorph (eV/atom) = 0.000
- uncorrected energy (eV per formula unit) = -26.0
- crystal system = tetragonal
- energy of formation from the pure elements (eV/atom) = -0.087

abc: 11.3809 11.3809 7.4663
angles: 90.00 90.00 90.00
Closest atoms and distances in Å follow each position.
Space group I4_1/amd (No. 141, origin choice 2)
Unique sites:
Li1 0.0000 0.2500 0.3750 [4 per cell]  4 Ag 2.99, 8 Li 3.02
Li2 0.1219 0.0488 0.1884 [32 per cell]  2 Ag 2.75-2.76, 8 Li 2.77-3.06
Ca1 0.0000 0.2500 0.8750 [4 per cell]  18 Li 3.56-3.73
Ag1 0.0000 0.0000 0.5000 [8 per cell]  10 Li 2.75-2.99